# 1
Here is an optimized crystal structure of RbLi2Sb from the Alexandria database. Energies are from PBE-GGA.

Summary:
V: 599.29 Å³ per cell
DOS at the Fermi energy: 0.0 states/eV/f.u.
theoretical density: 2.451 g cm⁻³
ΔE_f (raw): -0.37 eV per atom

a = 5.872 Å, b = 5.872 Å, c = 17.383 Å
α = 90.00°, β = 90.00°, γ = 90.00°
Space group I-42d (No. 122)
Inequivalent atoms, fractional coordinates:
Rb 0.000 0.000 0.000 x4
Li 0.001 0.250 0.625 x8
Sb 0.000 0.000 0.500 x4

# 2
Here is an optimized crystal structure of HfZrCu4 from the Alexandria database. Energies are from PBE-GGA.

Summary:
V: 102.64 Å³ per cell
offset from the most stable computed form: 26.6 kJ/mol of atoms
DOS at the Fermi energy: 4.0 states/eV/f.u.
energy relative to the elements: 216 meV per atom
theoretical density: 8.476 g cm⁻³

a = 3.435 Å, b = 3.435 Å, c = 8.701 Å
α = 90.00°, β = 90.00°, γ = 90.00°
Space group P4/mmm (No. 123)
Inequivalent atoms, fractional coordinates:
Hf 0.000 0.000 0.000 x1
Zr 0.500 0.500 0.500 x1
Cu 0.000 0.500 0.246 x4

# 3
Here is an optimized crystal structure of PuBe17Nb from the Alexandria database. Energies are from PBE-GGA.

Summary:
V: 541.80 Å³ per cell
DOS at the Fermi energy: 10.9 states/eV/f.u.
energy relative to the elements: -105 meV per atom
theoretical density: 4.506 g cm⁻³

a = 7.5299 Å, b = 7.5299 Å, c = 11.0337 Å
α = 90.00°, β = 90.00°, γ = 120.00°
Space group R3m (No. 160, hexagonal axes)
Inequivalent atoms, fractional coordinates:
Pu 0.0000 0.0000 0.0000 x3
Be 0.0000 0.0000 0.2449 x3
Be 0.0000 0.0000 0.4370 x3
Be 0.0015 0.5007 0.1797 x9
Be 0.0027 0.2875 0.3379 x18
Be 0.0034 0.5017 0.4943 x9
Be 0.1683 0.3367 0.1731 x9
Nb 0.0000 0.0000 0.6721 x3

# 4
Here is an optimized crystal structure of LiFeH2 from the Alexandria database. Energies are from PBE-GGA.

Summary:
V: 106.99 Å³ per cell
offset from the most stable computed form: 45.9 kJ/mol of atoms
DOS at the Fermi energy: 1.6 states/eV/f.u.
theoretical density: 4.023 g cm⁻³

a = 4.747 Å, b = 4.747 Å, c = 4.747 Å
α = 90.00°, β = 90.00°, γ = 90.00°
Space group Fm-3m (No. 225)
Inequivalent atoms, fractional coordinates:
Li 0.000 0.000 0.000 x4
Fe 0.000 0.000 0.500 x4
H 0.250 0.250 0.250 x8

# 5
Here is an optimized crystal structure of Sc4C3 from the Alexandria database. Energies are from PBE-GGA.

Summary:
V: 130.75 Å³ per cell
offset from the most stable computed form: 60.2 kJ/mol of atoms
DOS at the Fermi energy: 5.7 states/eV/f.u.
energy relative to the elements: 137 meV per atom
theoretical density: 2.741 g cm⁻³

a = 5.076 Å, b = 5.076 Å, c = 5.076 Å
α = 90.00°, β = 90.00°, γ = 90.00°
Space group P-43m (No. 215)
Inequivalent atoms, fractional coordinates:
Sc 0.238 0.238 0.238 x4
C 0.000 0.000 0.500 x3

# 6
Here is an optimized crystal structure of TaCu2TeRh from the Alexandria database. Energies are from PBE-GGA.

Summary:
V: 102.51 Å³ per cell
DOS at the Fermi energy: 5.6 states/eV/f.u.
theoretical density: 8.724 g cm⁻³
ΔE_f (raw): 1.30 eV per atom

a = 4.608 Å, b = 4.608 Å, c = 4.827 Å
α = 90.00°, β = 90.00°, γ = 90.00°
Space group P4/mmm (No. 123)
Inequivalent atoms, fractional coordinates:
Ta 0.000 0.000 0.000 x1
Cu 0.000 0.500 0.500 x2
Te 0.500 0.500 0.500 x1
Rh 0.500 0.500 0.000 x1